A plane-wave DFT calculation with PBE-GGA was carried out for crystalline Ta2TeBr at its relaxed geometry.

Output
energy relative to the lowest polymorph listed for this composition: 112 meV/atom
Fermi-level density of states: 9.79 states/eV per cell
total energy: -7.2664 eV per atom
ΔE_f (raw): -0.136 eV/atom

```
Ta2TeBr
1.0
7.042 0.000 0.002
0.000 3.458 0.000
-1.691 0.000 16.260
Te Br Ta
4 4 8
direct
0.384 0.000 0.455
0.384 0.500 0.955
0.798 0.000 0.841
0.798 0.500 0.341
0.623 0.000 0.137
0.623 0.500 0.637
0.071 0.000 0.081
0.071 0.500 0.581
0.201 0.000 0.836
0.201 0.500 0.336
0.993 0.000 0.233
0.993 0.500 0.733
0.332 0.000 0.656
0.332 0.500 0.156
0.474 0.000 0.281
0.474 0.500 0.781
```